1.
Below is a relaxed BaSr2In2 crystal, with properties calculated at the PBE level.

Unit cell a=9.3684 b=9.3684 c=4.5755 alpha=90.00 beta=90.00 gamma=90.00
Fractional positions:
Sr  0.6702  0.8298  0.5000
Sr  0.1702  0.6702  0.5000
Sr  0.3298  0.1702  0.5000
Sr  0.8298  0.3298  0.5000
Ba  0.5000  0.5000  0.0000
Ba  0.0000  0.0000  0.0000
In  0.3803  0.8803  0.0000
In  0.1197  0.3803  0.0000
In  0.6197  0.1197  0.0000
In  0.8803  0.6197  0.0000

Summary:
DOS at the Fermi energy, states/eV per atom: 0.83
DFT formation energy, eV per formula unit: -1.6



2.
Below is a relaxed K2TiIrO6 crystal, with properties calculated at the PBE level.

Unit cell a=5.5638 b=5.5638 c=5.5638 alpha=60.00 beta=60.00 gamma=60.00
Fractional positions:
O  0.7482  0.7482  0.2518
O  0.7482  0.2518  0.7482
O  0.2518  0.2518  0.7482
O  0.7482  0.2518  0.2518
O  0.2518  0.7482  0.7482
O  0.2518  0.7482  0.2518
K  0.2500  0.2500  0.2500
K  0.7500  0.7500  0.7500
Ir  0.5000  0.5000  0.5000
Ti  0.0000  0.0000  0.0000

Summary:
DOS at the Fermi energy, states/eV per atom: 0.49
Raw formation energy, eV per atom: -1.704



3.
Below is a relaxed Cs2LiInI5 crystal, with properties calculated at the PBE level.

Unit cell a=5.3849 b=11.2613 c=15.1333 alpha=90.00 beta=90.00 gamma=103.83
Fractional positions:
I  0.0554  0.1107  0.0212
I  0.7013  0.4027  0.1385
I  0.6543  0.3086  0.5074
I  0.4969  0.9937  0.7855
I  0.6869  0.3739  0.8476
I  0.5031  0.0063  0.2855
I  0.3131  0.6261  0.3476
I  0.2987  0.5973  0.6385
I  0.3457  0.6914  0.0074
I  0.9446  0.8893  0.5212
Li  0.7696  0.5392  0.5701
Li  0.2304  0.4608  0.0701
Cs  0.8831  0.7661  0.1828
Cs  0.1343  0.2685  0.3229
Cs  0.8657  0.7315  0.8229
Cs  0.1169  0.2339  0.6828
In  0.4265  0.8529  0.4478
In  0.5735  0.1471  0.9478

Summary:
DOS at the Fermi energy, states/eV per atom: 0.15
Raw formation energy, eV per atom: -1.084



Among the records above, which one has the lowest DOS at the Fermi energy? Cs2LiInI5



Among the records above, which one has the highest DOS at the Fermi energy? BaSr2In2